No. 1
Tb2Y6Tm | PBE | relaxed

Computed properties:
Its density of states at the Fermi level is 23.762 states/eV per cell. As for the energy of formation from the pure elements: 0.1043 eV per atom. The value obtained for the total magnetization is 0.0 μB per formula unit. The polymorph energy (0 for the lowest one) is 42 meV per atom. The electronic total energy is -5.73 eV per atom.

Geometry as POSCAR:
```
Tb2Y6Tm
1.0
6.400 -7.148 0.000
6.400 7.148 0.000
-1.578 0.000 6.350
Tb Y Tm
4 12 2
direct
0.117 0.163 0.370 Tb
0.163 0.117 0.870 Tb
0.837 0.883 0.130 Tb
0.883 0.837 0.630 Tb
0.042 0.438 0.725 Y
0.149 0.777 0.995 Y
0.223 0.851 0.505 Y
0.277 0.453 0.190 Y
0.438 0.042 0.225 Y
0.453 0.277 0.690 Y
0.547 0.723 0.310 Y
0.562 0.958 0.775 Y
0.723 0.547 0.810 Y
0.777 0.149 0.495 Y
0.851 0.223 0.005 Y
0.958 0.562 0.275 Y
0.382 0.618 0.750 Tm
0.618 0.382 0.250 Tm
```

No. 2
Tb3YTm2 | PBE | relaxed

Computed properties:
Its density of states at the Fermi level is 20.108 states/eV per cell. As for the energy of formation from the pure elements: 0.1253 eV per atom. The value obtained for the total magnetization is 0.0 μB per formula unit. The polymorph energy (0 for the lowest one) is 121 meV per atom. The electronic total energy is -4.76 eV per atom.

Geometry as POSCAR:
```
Tb3YTm2
1.0
11.503 -1.740 0.000
11.503 1.740 0.000
-3.218 0.000 9.647
Tb Y Tm
6 2 4
direct
0.059 0.059 0.438 Tb
0.196 0.196 0.714 Tb
0.431 0.431 0.233 Tb
0.569 0.569 0.767 Tb
0.804 0.804 0.286 Tb
0.941 0.941 0.562 Tb
0.186 0.186 0.039 Y
0.814 0.814 0.961 Y
0.193 0.193 0.373 Tm
0.430 0.430 0.862 Tm
0.570 0.570 0.138 Tm
0.807 0.807 0.627 Tm
```

No. 3
TbY4Tm8 | PBE | relaxed

Computed properties:
Its density of states at the Fermi level is 19.941 states/eV per cell. As for the energy of formation from the pure elements: 0.2259 eV per atom. The value obtained for the total magnetization is 0.0 μB per formula unit. The electronic total energy is -4.87 eV per atom.

Geometry as POSCAR:
```
TbY4Tm8
1.0
3.637 2.100 8.872
-3.637 2.100 8.872
0.000 -4.200 8.872
Tb Y Tm
1 4 8
direct
0.000 0.000 0.000 Tb
0.000 0.000 0.500 Y
0.000 0.500 0.000 Y
0.500 0.000 0.000 Y
0.500 0.500 0.500 Y
0.250 0.250 0.690 Tm
0.250 0.690 0.250 Tm
0.282 0.282 0.282 Tm
0.310 0.750 0.750 Tm
0.690 0.250 0.250 Tm
0.718 0.718 0.718 Tm
0.750 0.310 0.750 Tm
0.750 0.750 0.310 Tm
```

No. 4
TbYTm | PBE | relaxed

Computed properties:
Its density of states at the Fermi level is 6.109 states/eV per cell. As for the energy of formation from the pure elements: 0.0699 eV per atom. The value obtained for the total magnetization is 0.0 μB per formula unit. The polymorph energy (0 for the lowest one) is 46 meV per atom. The electronic total energy is -5.12 eV per atom.

Geometry as POSCAR:
```
TbYTm
1.0
5.579 0.000 0.000
-2.790 4.832 0.000
0.000 0.000 3.493
Tb Y Tm
1 1 1
direct
0.000 0.000 0.000 Tb
0.667 0.333 0.500 Y
0.333 0.667 0.000 Tm
```

No. 5
TbYTm2 | PBE | relaxed

Computed properties:
Its density of states at the Fermi level is 5.427 states/eV per cell. As for the energy of formation from the pure elements: 0.0256 eV per atom. The value obtained for the total magnetization is 0.0 μB per formula unit. The polymorph energy (0 for the lowest one) is 22 meV per atom. The electronic total energy is -4.98 eV per atom.

Geometry as POSCAR:
```
TbYTm2
1.0
3.528 0.000 0.000
0.000 3.528 0.000
0.000 0.000 9.976
Tb Y Tm
1 1 2
direct
0.000 0.000 0.000 Tb
0.000 0.000 0.500 Y
0.500 0.500 0.249 Tm
0.500 0.500 0.751 Tm
```

No. 6
Tb8Y5Tm | PBE | relaxed

Computed properties:
Its density of states at the Fermi level is 21.728 states/eV per cell. As for the energy of formation from the pure elements: 0.2652 eV per atom. The value obtained for the total magnetization is 0.0 μB per formula unit. The electronic total energy is -5.01 eV per atom.

Geometry as POSCAR:
```
Tb8Y5Tm
1.0
-4.800 4.800 5.045
4.800 -4.800 5.045
4.800 4.800 -5.045
Tb Y Tm
8 5 1
direct
0.088 0.673 0.766 Tb
0.170 0.275 0.757 Tb
0.327 0.093 0.415 Tb
0.517 0.413 0.243 Tb
0.587 0.830 0.104 Tb
0.678 0.912 0.585 Tb
0.725 0.483 0.896 Tb
0.907 0.322 0.234 Tb
0.216 0.618 0.181 Y
0.382 0.563 0.598 Y
0.437 0.035 0.819 Y
0.750 0.250 0.500 Y
0.965 0.784 0.402 Y
0.000 0.000 0.000 Tm
```

No. 7
Tb8YTm2 | PBE | relaxed

Computed properties:
Its density of states at the Fermi level is 15.076 states/eV per cell. As for the energy of formation from the pure elements: 0.1494 eV per atom. The value obtained for the total magnetization is 0.0 μB per formula unit. The polymorph energy (0 for the lowest one) is 19 meV per atom. The electronic total energy is -4.62 eV per atom.

Geometry as POSCAR:
```
Tb8YTm2
1.0
4.522 -8.218 0.000
4.522 8.218 0.000
-3.455 0.000 4.775
Tb Y Tm
8 1 2
direct
0.097 0.342 0.692 Tb
0.205 0.795 0.000 Tb
0.342 0.097 0.692 Tb
0.440 0.440 0.210 Tb
0.560 0.560 0.790 Tb
0.658 0.903 0.308 Tb
0.795 0.205 0.000 Tb
0.903 0.658 0.308 Tb
0.000 0.000 0.000 Y
0.311 0.689 0.500 Tm
0.689 0.311 0.500 Tm
```

No. 8
Tb3Y2Tm9 | PBE | relaxed

Computed properties:
Its density of states at the Fermi level is 21.931 states/eV per cell. As for the energy of formation from the pure elements: 0.1233 eV per atom. The value obtained for the total magnetization is 0.0 μB per formula unit. The electronic total energy is -4.67 eV per atom.

Geometry as POSCAR:
```
Tb3Y2Tm9
1.0
6.155 0.000 0.000
1.859 8.442 0.000
0.525 1.535 8.502
Tb Y Tm
3 2 9
direct
0.000 0.000 0.000 Tb
0.256 0.272 0.384 Tb
0.743 0.727 0.616 Tb
0.453 0.703 0.969 Y
0.545 0.296 0.031 Y
0.093 0.693 0.315 Tm
0.185 0.895 0.619 Tm
0.345 0.492 0.668 Tm
0.488 0.916 0.253 Tm
0.511 0.083 0.747 Tm
0.654 0.507 0.332 Tm
0.814 0.104 0.381 Tm
0.906 0.306 0.685 Tm
0.999 0.499 0.000 Tm
```